# Hf2Ga

A relaxed Hf2Ga crystal (GGA-PBE, OQMD).

The structure in POSCAR format:
```
Hf2Ga
1.0
0.000 4.026 4.026
4.026 0.000 4.026
4.026 4.026 0.000
Hf Ga
4 2
direct
0.000 0.000 0.000
0.000 0.000 0.500
0.000 0.500 0.000
0.500 0.000 0.000
0.375 0.375 0.375
0.625 0.625 0.625
```

Calculated values
**Space group**: Fd-3m (227)
**V**: 21.8 Å³ per atom
**Electronic total energy**: -7.242 eV/atom

---

# HfGa

A relaxed HfGa crystal (GGA-PBE, OQMD).

The structure in POSCAR format:
```
HfGa
1.0
9.202 0.000 0.000
0.000 8.529 0.000
0.000 0.000 5.659
Hf Ga
12 12
direct
0.111 0.250 0.000
0.111 0.250 0.500
0.192 0.636 0.250
0.192 0.864 0.750
0.383 0.027 0.250
0.383 0.473 0.750
0.617 0.527 0.250
0.617 0.973 0.750
0.808 0.136 0.250
0.808 0.364 0.750
0.889 0.750 0.000
0.889 0.750 0.500
0.086 0.549 0.750
0.086 0.951 0.250
0.349 0.132 0.750
0.349 0.368 0.250
0.434 0.750 0.000
0.434 0.750 0.500
0.566 0.250 0.000
0.566 0.250 0.500
0.651 0.632 0.750
0.651 0.868 0.250
0.914 0.049 0.750
0.914 0.451 0.250
```

Calculated values
**Space group**: Pbcm (57)
**V**: 18.5 Å³ per atom
**Electronic total energy**: -6.999 eV/atom

---

# HfGa2

A relaxed HfGa2 crystal (GGA-PBE, OQMD).

The structure in POSCAR format:
```
HfGa2
1.0
0.000 3.703 3.703
3.703 0.000 3.703
3.703 3.703 0.000
Hf Ga
2 4
direct
0.125 0.125 0.125
0.875 0.875 0.875
0.000 0.500 0.500
0.500 0.000 0.500
0.500 0.500 0.000
0.500 0.500 0.500
```

Calculated values
**Space group**: Fd-3m (227)
**V**: 16.9 Å³ per atom
**Electronic total energy**: -5.681 eV/atom

---

# Hf2Ga

A relaxed Hf2Ga crystal (GGA-PBE, OQMD).

The structure in POSCAR format:
```
Hf2Ga
1.0
6.398 0.000 0.000
0.000 6.398 0.000
0.000 0.000 6.398
Hf Ga
8 4
direct
0.250 0.250 0.250
0.250 0.250 0.750
0.250 0.750 0.250
0.250 0.750 0.750
0.750 0.250 0.250
0.750 0.250 0.750
0.750 0.750 0.250
0.750 0.750 0.750
0.000 0.000 0.000
0.000 0.500 0.500
0.500 0.000 0.500
0.500 0.500 0.000
```

Calculated values
**Space group**: Fm-3m (225)
**V**: 21.8 Å³ per atom
**Electronic total energy**: -7.653 eV/atom

---

# HfGa

A relaxed HfGa crystal (GGA-PBE, OQMD).

The structure in POSCAR format:
```
HfGa
1.0
6.074 0.000 0.000
0.000 6.074 0.000
0.000 0.000 6.074
Hf Ga
4 4
direct
0.000 0.000 0.000
0.000 0.500 0.500
0.500 0.000 0.500
0.500 0.500 0.000
0.250 0.250 0.250
0.250 0.750 0.750
0.750 0.250 0.750
0.750 0.750 0.250
```

Calculated values
**Space group**: F-43m (216)
**V**: 28.0 Å³ per atom
**Electronic total energy**: -5.522 eV/atom

---

# HfGa2

A relaxed HfGa2 crystal (GGA-PBE, OQMD).

The structure in POSCAR format:
```
HfGa2
1.0
0.000 6.219 6.219
6.219 0.000 6.219
6.219 6.219 0.000
Hf Ga
2 4
direct
0.125 0.125 0.125
0.875 0.875 0.875
0.000 0.000 0.000
0.000 0.000 0.500
0.000 0.500 0.000
0.500 0.000 0.000
```

Calculated values
**Space group**: Fd-3m (227)
**V**: 80.2 Å³ per atom
**Electronic total energy**: -3.714 eV/atom

---

# Hf11Ga10

A relaxed Hf11Ga10 crystal (GGA-PBE, OQMD).

The structure in POSCAR format:
```
Hf11Ga10
1.0
-5.168 5.168 7.366
5.168 -5.168 7.366
5.168 5.168 -7.366
Hf Ga
22 20
direct
0.061 0.312 0.749
0.104 0.437 0.334
0.104 0.770 0.666
0.179 0.179 0.000
0.230 0.896 0.334
0.312 0.061 0.749
0.312 0.563 0.251
0.325 0.325 0.650
0.325 0.675 0.000
0.437 0.104 0.334
0.437 0.688 0.749
0.563 0.312 0.251
0.563 0.896 0.666
0.675 0.325 0.000
0.675 0.675 0.350
0.688 0.437 0.749
0.688 0.939 0.251
0.770 0.104 0.666
0.821 0.821 0.000
0.896 0.230 0.334
0.896 0.563 0.666
0.939 0.688 0.251
0.033 0.033 0.413
0.033 0.620 0.000
0.127 0.127 0.255
0.127 0.873 0.000
0.143 0.500 0.643
0.250 0.750 0.500
0.380 0.380 0.413
0.380 0.967 0.000
0.393 0.393 0.000
0.500 0.143 0.643
0.500 0.857 0.357
0.607 0.607 0.000
0.620 0.033 0.000
0.620 0.620 0.587
0.750 0.250 0.500
0.857 0.500 0.357
0.873 0.127 0.000
0.873 0.873 0.745
0.967 0.380 0.000
0.967 0.967 0.587
```

Calculated values
**Space group**: I4/mmm (139)
**V**: 18.7 Å³ per atom
**Electronic total energy**: -7.150 eV/atom

---

# Hf2Ga

A relaxed Hf2Ga crystal (GGA-PBE, OQMD).

The structure in POSCAR format:
```
Hf2Ga
1.0
0.000 5.800 5.800
5.800 0.000 5.800
5.800 5.800 0.000
Hf Ga
4 2
direct
0.000 0.000 0.000
0.000 0.000 0.500
0.000 0.500 0.000
0.500 0.000 0.000
0.125 0.125 0.125
0.875 0.875 0.875
```

Calculated values
**Space group**: Fd-3m (227)
**V**: 65.0 Å³ per atom
**Electronic total energy**: -5.046 eV/atom

---

# HfGa2

A relaxed HfGa2 crystal (GGA-PBE, OQMD).

The structure in POSCAR format:
```
HfGa2
1.0
6.382 0.000 0.000
0.000 6.382 0.000
0.000 0.000 6.382
Hf Ga
4 8
direct
0.000 0.000 0.000
0.000 0.500 0.500
0.500 0.000 0.500
0.500 0.500 0.000
0.250 0.250 0.250
0.250 0.250 0.750
0.250 0.750 0.250
0.250 0.750 0.750
0.750 0.250 0.250
0.750 0.250 0.750
0.750 0.750 0.250
0.750 0.750 0.750
```

Calculated values
**Space group**: Fm-3m (225)
**V**: 21.7 Å³ per atom
**Electronic total energy**: -5.265 eV/atom

---

# HfGa12

A relaxed HfGa12 crystal (GGA-PBE, OQMD).

The structure in POSCAR format:
```
HfGa12
1.0
-3.902 3.902 3.902
3.902 -3.902 3.902
3.902 3.902 -3.902
Hf Ga
1 12
direct
0.000 0.000 0.000
0.126 0.810 0.316
0.190 0.316 0.506
0.190 0.684 0.874
0.316 0.126 0.810
0.316 0.506 0.190
0.494 0.810 0.684
0.506 0.190 0.316
0.684 0.494 0.810
0.684 0.874 0.190
0.810 0.316 0.126
0.810 0.684 0.494
0.874 0.190 0.684
```

Calculated values
**Space group**: Im-3 (204)
**V**: 18.3 Å³ per atom
**Electronic total energy**: -3.640 eV/atom

---

# HfGa

A relaxed HfGa crystal (GGA-PBE, OQMD).

The structure in POSCAR format:
```
HfGa
1.0
5.453 0.000 0.000
0.000 5.453 0.000
0.000 0.000 5.453
Hf Ga
4 4
direct
0.000 0.000 0.000
0.000 0.500 0.500
0.500 0.000 0.500
0.500 0.500 0.000
0.000 0.000 0.500
0.000 0.500 0.000
0.500 0.000 0.000
0.500 0.500 0.500
```

Calculated values
**Space group**: Fm-3m (225)
**V**: 20.3 Å³ per atom
**Electronic total energy**: -6.631 eV/atom

---

# HfGa2

A relaxed HfGa2 crystal (GGA-PBE, OQMD).

The structure in POSCAR format:
```
HfGa2
1.0
0.000 4.100 4.790
2.752 0.000 4.790
2.752 4.100 0.000
Hf Ga
2 4
direct
0.125 0.125 0.125
0.875 0.875 0.875
0.217 0.533 0.217
0.467 0.783 0.467
0.533 0.217 0.533
0.783 0.467 0.783
```

Calculated values
**Space group**: Fddd (70)
**V**: 18.0 Å³ per atom
**Electronic total energy**: -5.574 eV/atom

---

Question: What is the electronic total energy in the fourth record?
Answer: -7.653 eV/atom

---

Please write out number 6 again, unchanged.
# HfGa2

A relaxed HfGa2 crystal (GGA-PBE, OQMD).

The structure in POSCAR format:
```
HfGa2
1.0
0.000 6.219 6.219
6.219 0.000 6.219
6.219 6.219 0.000
Hf Ga
2 4
direct
0.125 0.125 0.125
0.875 0.875 0.875
0.000 0.000 0.000
0.000 0.000 0.500
0.000 0.500 0.000
0.500 0.000 0.000
```

Calculated values
**Space group**: Fd-3m (227)
**V**: 80.2 Å³ per atom
**Electronic total energy**: -3.714 eV/atom